Here is an optimized crystal structure of AgSb2S2 from OQMD via LeMat-Bulk. Energies are from PBE.

Cell lengths 9.6525, 7.5295, 7.2521 Å; angles 81.51, 50.49, 48.00 degrees
Sites, in units of the cell vectors:
S 0.1250 0.6250 0.1250
S 0.1250 0.1250 0.1250
S 0.1250 0.1250 0.6250
S 0.6250 0.1250 0.1250
Sb 0.5396 0.9604 0.5396
Sb 0.2896 0.7104 0.2896
Sb 0.7104 0.2896 0.7104
Sb 0.9604 0.5396 0.9604
Ag 0.2500 0.2500 0.2500
Ag 0.0000 0.0000 0.0000

Properties
**Crystal system**: orthorhombic
**Symmetry**: Fddd

Here is an optimized crystal structure of Tm2Fe4B4Ir from OQMD via LeMat-Bulk. Energies are from PBE.

Cell lengths 7.2634, 6.0162, 5.4064 Å; angles 78.77, 54.33, 46.89 degrees
Last column: magnetic moment on the atom in μB.
Sites, in units of the cell vectors:
B 0.9768 0.2977 0.7023  -0.03
B 0.0232 0.7023 0.2977  -0.03
B 0.7023 0.0232 0.9768  -0.03
B 0.2977 0.9768 0.0232  -0.03
Tm 0.6477 0.6477 0.3523  -0.11
Tm 0.3523 0.3523 0.6477  -0.11
Ir 0.0000 0.0000 0.0000  -0.02
Fe 0.5000 0.5000 0.0000  1.51
Fe 0.0000 0.0000 0.5000  1.47
Fe 0.7500 0.7500 0.7500  0.09
Fe 0.2500 0.2500 0.2500  0.09

Properties
**Crystal system**: orthorhombic
**Symmetry**: Fmmm

Here is an optimized crystal structure of RbFe4AsP2 from OQMD via LeMat-Bulk. Energies are from PBE.

Cell lengths 11.2433, 11.2433, 11.2433 Å; angles 19.27, 19.27, 19.27 degrees
Last column: magnetic moment on the atom in μB.
Sites, in units of the cell vectors:
As 0.0000 0.0000 0.0000  -0.06
P 0.2446 0.2446 0.2446  -0.06
P 0.7554 0.7554 0.7554  -0.06
Fe 0.3101 0.3101 0.3101  1.02
Fe 0.0721 0.0721 0.0721  0.79
Fe 0.9279 0.9279 0.9279  0.79
Fe 0.6899 0.6899 0.6899  1.02
Rb 0.5000 0.5000 0.5000  0.00

Properties
**Crystal system**: trigonal
**Symmetry**: R-3m

Here is an optimized crystal structure of CsTbGaSe3 from OQMD via LeMat-Bulk. Energies are from PBE.

Cell lengths 8.1560, 8.1560, 11.0453 Å; angles 90.00, 90.00, 147.31 degrees
Sites, in units of the cell vectors:
Tb 0.0000 0.0000 0.5000
Tb 0.0000 0.0000 0.0000
Se 0.6139 0.3861 0.4385
Se 0.6139 0.3861 0.0615
Se 0.9455 0.0545 0.2500
Se 0.3861 0.6139 0.9385
Se 0.0545 0.9455 0.7500
Se 0.3861 0.6139 0.5615
Cs 0.2550 0.7450 0.2500
Cs 0.7450 0.2550 0.7500
Ga 0.5191 0.4809 0.2500
Ga 0.4809 0.5191 0.7500

Properties
**Crystal system**: orthorhombic
**Symmetry**: Cmcm

Here is an optimized crystal structure of Y2InGaPt4 from OQMD via LeMat-Bulk. Energies are from PBE.

Cell lengths 4.4916, 4.4916, 9.1181 Å; angles 90.00, 90.00, 120.00 degrees
Sites, in units of the cell vectors:
Pt 0.3333 0.6667 0.4176
Pt 0.6667 0.3333 0.9053
Pt 0.3333 0.6667 0.0947
Pt 0.6667 0.3333 0.5824
In 0.0000 0.0000 0.0000
Y 0.6667 0.3333 0.2552
Y 0.3333 0.6667 0.7448
Ga 0.0000 0.0000 0.5000

Properties
**Crystal system**: trigonal
**Symmetry**: P-3m1

Here is an optimized crystal structure of Ho3Mg3ZnCd2 from OQMD via LeMat-Bulk. Energies are from PBE.

Cell lengths 7.6625, 7.6625, 4.2504 Å; angles 90.00, 90.00, 120.00 degrees
Sites, in units of the cell vectors:
Ho 0.5943 0.0000 0.0000
Ho 0.0000 0.5943 0.0000
Ho 0.4057 0.4057 0.0000
Mg 0.2404 0.0000 0.5000
Mg 0.0000 0.2404 0.5000
Mg 0.7596 0.7596 0.5000
Cd 0.6667 0.3333 0.5000
Cd 0.3333 0.6667 0.5000
Zn 0.0000 0.0000 0.0000

Properties
**Crystal system**: hexagonal
**Symmetry**: P-62m

DFT total energy in Ha/atom, matching the order above: -0.13490, -0.27885, -0.23358, -0.16246, -0.23369, -0.09658